Computed, not measured: a relaxed SrPrHg6 crystal at the PBE level of DFT.

Cell: 5.217 6.879 6.879 Å, 119.83 90.00 90.00°
Atoms (fractional coordinates):
Hg1 0.500 0.915 0.085
Hg2 0.000 0.594 0.936
Hg3 0.000 0.064 0.406
Hg4 0.500 0.422 0.088
Hg5 0.500 0.912 0.578
Hg6 0.000 0.592 0.408
Pr1 0.000 0.085 0.915
Sr1 0.500 0.415 0.585

Calculated formation energy   -0.398 eV per atom
E_tot   -11.46 eV/cell
Total magnetization   0.0 Bohr magnetons per cell